[1]
First-principles (PBE-GGA) data for an optimized crystal structure of FeBiPdW, as listed in OQMD via LeMat-Bulk.

abc: 6.4849 6.4849 6.4849
angles: 90.00 90.00 90.00
With the nearest neighbours (Å) after each atom.
Positions (direct):
1 Fe 0.0000 0.0000 0.0000  4 Bi 2.81, 4 Pd 2.81
2 Fe 0.0000 0.5000 0.5000  4 Bi 2.81, 4 Pd 2.81
3 Fe 0.5000 0.0000 0.5000  4 Bi 2.81, 4 Pd 2.81
4 Fe 0.5000 0.5000 0.0000  4 Pd 2.81, 4 Bi 2.81
5 Bi 0.2500 0.2500 0.7500  4 W 2.81, 4 Fe 2.81
6 Bi 0.2500 0.7500 0.2500  4 W 2.81, 4 Fe 2.81
7 Bi 0.7500 0.2500 0.2500  4 W 2.81, 4 Fe 2.81
8 Bi 0.7500 0.7500 0.7500  4 W 2.81, 4 Fe 2.81
9 Pd 0.2500 0.2500 0.2500  4 W 2.81, 4 Fe 2.81
10 Pd 0.2500 0.7500 0.7500  4 W 2.81, 4 Fe 2.81
11 Pd 0.7500 0.2500 0.7500  4 W 2.81, 4 Fe 2.81
12 Pd 0.7500 0.7500 0.2500  4 W 2.81, 4 Fe 2.81
13 W 0.0000 0.0000 0.5000  4 Bi 2.81, 4 Pd 2.81
14 W 0.0000 0.5000 0.0000  4 Bi 2.81, 4 Pd 2.81
15 W 0.5000 0.0000 0.0000  4 Bi 2.81, 4 Pd 2.81
16 W 0.5000 0.5000 0.5000  4 Bi 2.81, 4 Pd 2.81

total energy: -6.9588 eV/atom
space-group type: F-43m (216)

---

[2]
First-principles (PBE-GGA) data for an optimized crystal structure of FeBiPdW, as listed in OQMD via LeMat-Bulk.

abc: 6.5129 6.5129 6.5129
angles: 90.00 90.00 90.00
With the nearest neighbours (Å) after each atom.
Positions (direct):
1 Fe 0.0000 0.0000 0.0000  4 W 2.82, 4 Bi 2.82
2 Fe 0.0000 0.5000 0.5000  4 W 2.82, 4 Bi 2.82
3 Fe 0.5000 0.0000 0.5000  4 W 2.82, 4 Bi 2.82
4 Fe 0.5000 0.5000 0.0000  4 W 2.82, 4 Bi 2.82
5 Bi 0.2500 0.2500 0.7500  4 Fe 2.82, 4 Pd 2.82
6 Bi 0.2500 0.7500 0.2500  4 Fe 2.82, 4 Pd 2.82
7 Bi 0.7500 0.2500 0.2500  4 Fe 2.82, 4 Pd 2.82
8 Bi 0.7500 0.7500 0.7500  4 Pd 2.82, 4 Fe 2.82
9 Pd 0.0000 0.0000 0.5000  4 Bi 2.82, 4 W 2.82
10 Pd 0.0000 0.5000 0.0000  4 Bi 2.82, 4 W 2.82
11 Pd 0.5000 0.0000 0.0000  4 Bi 2.82, 4 W 2.82
12 Pd 0.5000 0.5000 0.5000  4 Bi 2.82, 4 W 2.82
13 W 0.2500 0.2500 0.2500  4 Fe 2.82, 4 Pd 2.82
14 W 0.2500 0.7500 0.7500  4 Fe 2.82, 4 Pd 2.82
15 W 0.7500 0.2500 0.7500  4 Fe 2.82, 4 Pd 2.82
16 W 0.7500 0.7500 0.2500  4 Fe 2.82, 4 Pd 2.82

total energy: -6.9187 eV/atom
space-group type: F-43m (216)

---

[3]
First-principles (PBE-GGA) data for an optimized crystal structure of YFeBiPd, as listed in OQMD via LeMat-Bulk.

abc: 6.9301 6.9301 6.9301
angles: 90.00 90.00 90.00
With the nearest neighbours (Å) after each atom.
Positions (direct):
1 Y 0.0000 0.0000 0.0000  4 Bi 3.00, 4 Pd 3.00
2 Y 0.0000 0.5000 0.5000  4 Bi 3.00, 4 Pd 3.00
3 Y 0.5000 0.0000 0.5000  4 Bi 3.00, 4 Pd 3.00
4 Y 0.5000 0.5000 0.0000  4 Bi 3.00, 4 Pd 3.00
5 Fe 0.0000 0.0000 0.5000  4 Pd 3.00, 4 Bi 3.00
6 Fe 0.0000 0.5000 0.0000  4 Bi 3.00, 4 Pd 3.00
7 Fe 0.5000 0.0000 0.0000  4 Bi 3.00, 4 Pd 3.00
8 Fe 0.5000 0.5000 0.5000  4 Bi 3.00, 4 Pd 3.00
9 Bi 0.2500 0.2500 0.2500  4 Fe 3.00, 4 Y 3.00
10 Bi 0.2500 0.7500 0.7500  4 Fe 3.00, 4 Y 3.00
11 Bi 0.7500 0.2500 0.7500  4 Fe 3.00, 4 Y 3.00
12 Bi 0.7500 0.7500 0.2500  4 Fe 3.00, 4 Y 3.00
13 Pd 0.2500 0.2500 0.7500  4 Fe 3.00, 4 Y 3.00
14 Pd 0.2500 0.7500 0.2500  4 Fe 3.00, 4 Y 3.00
15 Pd 0.7500 0.2500 0.2500  4 Fe 3.00, 4 Y 3.00
16 Pd 0.7500 0.7500 0.7500  4 Fe 3.00, 4 Y 3.00

total energy: -6.1430 eV/atom
space-group type: F-43m (216)

---

[4]
First-principles (PBE-GGA) data for an optimized crystal structure of YFeBiPd, as listed in OQMD via LeMat-Bulk.

abc: 6.8403 6.8403 6.8403
angles: 90.00 90.00 90.00
With the nearest neighbours (Å) after each atom.
Positions (direct):
1 Y 0.0000 0.0000 0.0000  4 Fe 2.96, 4 Pd 2.96
2 Y 0.0000 0.5000 0.5000  4 Fe 2.96, 4 Pd 2.96
3 Y 0.5000 0.0000 0.5000  4 Fe 2.96, 4 Pd 2.96
4 Y 0.5000 0.5000 0.0000  4 Fe 2.96, 4 Pd 2.96
5 Fe 0.2500 0.2500 0.7500  4 Bi 2.96, 4 Y 2.96
6 Fe 0.2500 0.7500 0.2500  4 Bi 2.96, 4 Y 2.96
7 Fe 0.7500 0.2500 0.2500  4 Bi 2.96, 4 Y 2.96
8 Fe 0.7500 0.7500 0.7500  4 Y 2.96, 4 Bi 2.96
9 Bi 0.0000 0.0000 0.5000  4 Pd 2.96, 4 Fe 2.96
10 Bi 0.0000 0.5000 0.0000  4 Pd 2.96, 4 Fe 2.96
11 Bi 0.5000 0.0000 0.0000  4 Pd 2.96, 4 Fe 2.96
12 Bi 0.5000 0.5000 0.5000  4 Pd 2.96, 4 Fe 2.96
13 Pd 0.2500 0.2500 0.2500  4 Bi 2.96, 4 Y 2.96
14 Pd 0.2500 0.7500 0.7500  4 Bi 2.96, 4 Y 2.96
15 Pd 0.7500 0.2500 0.7500  4 Bi 2.96, 4 Y 2.96
16 Pd 0.7500 0.7500 0.2500  4 Bi 2.96, 4 Y 2.96

total energy: -6.2186 eV/atom
space-group type: F-43m (216)

---

[5]
First-principles (PBE-GGA) data for an optimized crystal structure of ZnFeBiPd, as listed in OQMD via LeMat-Bulk.

abc: 6.4961 6.4961 6.4961
angles: 90.00 90.00 90.00
With the nearest neighbours (Å) after each atom.
Positions (direct):
1 Zn 0.0000 0.0000 0.0000  4 Fe 2.81, 4 Pd 2.81
2 Zn 0.0000 0.5000 0.5000  4 Fe 2.81, 4 Pd 2.81
3 Zn 0.5000 0.0000 0.5000  4 Fe 2.81, 4 Pd 2.81
4 Zn 0.5000 0.5000 0.0000  4 Fe 2.81, 4 Pd 2.81
5 Fe 0.2500 0.2500 0.7500  4 Bi 2.81, 4 Zn 2.81
6 Fe 0.2500 0.7500 0.2500  4 Bi 2.81, 4 Zn 2.81
7 Fe 0.7500 0.2500 0.2500  4 Bi 2.81, 4 Zn 2.81
8 Fe 0.7500 0.7500 0.7500  4 Bi 2.81, 4 Zn 2.81
9 Bi 0.0000 0.0000 0.5000  4 Pd 2.81, 4 Fe 2.81
10 Bi 0.0000 0.5000 0.0000  4 Pd 2.81, 4 Fe 2.81
11 Bi 0.5000 0.0000 0.0000  4 Pd 2.81, 4 Fe 2.81
12 Bi 0.5000 0.5000 0.5000  4 Pd 2.81, 4 Fe 2.81
13 Pd 0.2500 0.2500 0.2500  4 Bi 2.81, 4 Zn 2.81
14 Pd 0.2500 0.7500 0.7500  4 Bi 2.81, 4 Zn 2.81
15 Pd 0.7500 0.2500 0.7500  4 Bi 2.81, 4 Zn 2.81
16 Pd 0.7500 0.7500 0.2500  4 Bi 2.81, 4 Zn 2.81

total energy: -4.5744 eV/atom
space-group type: F-43m (216)

---

[6]
First-principles (PBE-GGA) data for an optimized crystal structure of ZrFeBiPd, as listed in OQMD via LeMat-Bulk.

abc: 6.6708 6.6708 6.6708
angles: 90.00 90.00 90.00
With the nearest neighbours (Å) after each atom.
Positions (direct):
1 Zr 0.0000 0.0000 0.0000  4 Fe 2.89, 4 Pd 2.89
2 Zr 0.0000 0.5000 0.5000  4 Fe 2.89, 4 Pd 2.89
3 Zr 0.5000 0.0000 0.5000  4 Fe 2.89, 4 Pd 2.89
4 Zr 0.5000 0.5000 0.0000  4 Fe 2.89, 4 Pd 2.89
5 Fe 0.2500 0.2500 0.7500  4 Zr 2.89, 4 Bi 2.89
6 Fe 0.2500 0.7500 0.2500  4 Zr 2.89, 4 Bi 2.89
7 Fe 0.7500 0.2500 0.2500  4 Zr 2.89, 4 Bi 2.89
8 Fe 0.7500 0.7500 0.7500  4 Zr 2.89, 4 Bi 2.89
9 Bi 0.0000 0.0000 0.5000  4 Fe 2.89, 4 Pd 2.89
10 Bi 0.0000 0.5000 0.0000  4 Fe 2.89, 4 Pd 2.89
11 Bi 0.5000 0.0000 0.0000  4 Fe 2.89, 4 Pd 2.89
12 Bi 0.5000 0.5000 0.5000  4 Fe 2.89, 4 Pd 2.89
13 Pd 0.2500 0.2500 0.2500  4 Zr 2.89, 4 Bi 2.89
14 Pd 0.2500 0.7500 0.7500  4 Bi 2.89, 4 Zr 2.89
15 Pd 0.7500 0.2500 0.7500  4 Bi 2.89, 4 Zr 2.89
16 Pd 0.7500 0.7500 0.2500  4 Bi 2.89, 4 Zr 2.89

total energy: -6.6380 eV/atom
space-group type: F-43m (216)

---

[7]
First-principles (PBE-GGA) data for an optimized crystal structure of ZrFeBiPd, as listed in OQMD via LeMat-Bulk.

abc: 6.6293 6.6293 6.6293
angles: 90.00 90.00 90.00
With the nearest neighbours (Å) after each atom.
Positions (direct):
1 Zr 0.0000 0.0000 0.0000  4 Bi 2.87, 4 Pd 2.87
2 Zr 0.0000 0.5000 0.5000  4 Bi 2.87, 4 Pd 2.87
3 Zr 0.5000 0.0000 0.5000  4 Bi 2.87, 4 Pd 2.87
4 Zr 0.5000 0.5000 0.0000  4 Bi 2.87, 4 Pd 2.87
5 Fe 0.0000 0.0000 0.5000  4 Pd 2.87, 4 Bi 2.87
6 Fe 0.0000 0.5000 0.0000  4 Pd 2.87, 4 Bi 2.87
7 Fe 0.5000 0.0000 0.0000  4 Pd 2.87, 4 Bi 2.87
8 Fe 0.5000 0.5000 0.5000  4 Pd 2.87, 4 Bi 2.87
9 Bi 0.2500 0.2500 0.2500  4 Fe 2.87, 4 Zr 2.87
10 Bi 0.2500 0.7500 0.7500  4 Zr 2.87, 4 Fe 2.87
11 Bi 0.7500 0.2500 0.7500  4 Zr 2.87, 4 Fe 2.87
12 Bi 0.7500 0.7500 0.2500  4 Zr 2.87, 4 Fe 2.87
13 Pd 0.2500 0.2500 0.7500  4 Zr 2.87, 4 Fe 2.87
14 Pd 0.2500 0.7500 0.2500  4 Zr 2.87, 4 Fe 2.87
15 Pd 0.7500 0.2500 0.2500  4 Zr 2.87, 4 Fe 2.87
16 Pd 0.7500 0.7500 0.7500  4 Zr 2.87, 4 Fe 2.87

total energy: -6.5170 eV/atom
space-group type: F-43m (216)

---

[8]
First-principles (PBE-GGA) data for an optimized crystal structure of Pr6Fe13Bi, as listed in OQMD via LeMat-Bulk.

abc: 13.1519 13.1519 13.1519
angles: 144.37 144.37 51.28
With the nearest neighbours (Å) after each atom.
Positions (direct):
1 Pr 0.0235 0.5235 0.1788  3 Fe 3.00-3.12
2 Pr 0.1034 0.1034 0.0000  12 Fe 3.03-3.25
3 Pr 0.1553 0.9765 0.5000  3 Fe 3.00-3.12
4 Pr 0.3447 0.8447 0.8212  3 Fe 3.00-3.12
5 Pr 0.3966 0.3966 0.0000  12 Fe 3.03-3.25
6 Pr 0.4765 0.6553 0.5000  3 Fe 3.00-3.12
7 Pr 0.5235 0.3447 0.5000  3 Fe 3.00-3.12
8 Pr 0.6034 0.6034 0.0000  12 Fe 3.03-3.25
9 Pr 0.6553 0.1553 0.1788  3 Fe 3.00-3.12
10 Pr 0.8447 0.0235 0.5000  3 Fe 3.00-3.12
11 Pr 0.8966 0.8966 0.0000  12 Fe 3.03-3.25
12 Pr 0.9765 0.4765 0.8212  3 Fe 3.00-3.12
13 Fe 0.0000 0.5000 0.5000  12 Fe 2.40-2.54
14 Fe 0.0212 0.2943 0.5000  7 Fe 2.51-2.64
15 Fe 0.0671 0.2098 0.2769  10 Fe 2.40-2.64
16 Fe 0.1206 0.6206 0.8569  9 Fe 2.45-2.74
17 Fe 0.2057 0.4788 0.5000  7 Fe 2.51-2.64
18 Fe 0.2098 0.9329 0.1427  10 Fe 2.40-2.64
19 Fe 0.2363 0.7363 0.8569  9 Fe 2.45-2.74
20 Fe 0.2637 0.1206 0.5000  9 Fe 2.45-2.74
21 Fe 0.2902 0.4329 0.7231  10 Fe 2.40-2.64
22 Fe 0.2943 0.7943 0.2731  7 Fe 2.51-2.64
23 Fe 0.3794 0.2363 0.5000  9 Fe 2.45-2.74
24 Fe 0.4329 0.7098 0.1427  10 Fe 2.40-2.64
25 Fe 0.4788 0.9788 0.2731  7 Fe 2.51-2.64
26 Fe 0.5000 0.0000 0.5000  12 Fe 2.40-2.54
27 Fe 0.5212 0.0212 0.7269  7 Fe 2.51-2.64
28 Fe 0.5671 0.2902 0.8573  10 Fe 2.40-2.64
29 Fe 0.6206 0.7637 0.5000  9 Fe 2.45-2.74
30 Fe 0.7057 0.2057 0.7269  7 Fe 2.51-2.64
31 Fe 0.7098 0.5671 0.2769  10 Fe 2.40-2.64
32 Fe 0.7363 0.8794 0.5000  9 Fe 2.45-2.74
33 Fe 0.7637 0.2637 0.1431  9 Fe 2.45-2.74
34 Fe 0.7902 0.0671 0.8573  10 Fe 2.40-2.64
35 Fe 0.7943 0.5212 0.5000  7 Fe 2.51-2.64
36 Fe 0.8794 0.3794 0.1431  9 Fe 2.45-2.74
37 Fe 0.9329 0.7902 0.7231  10 Fe 2.40-2.64
38 Fe 0.9788 0.7057 0.5000  7 Fe 2.51-2.64
39 Bi 0.2500 0.2500 0.0000  10 Pr 3.40-3.48
40 Bi 0.7500 0.7500 0.0000  10 Pr 3.40-3.48

total energy: -7.1216 eV/atom
space-group type: I4/mcm (140)

---

[9]
First-principles (PBE-GGA) data for an optimized crystal structure of FeBiPt, as listed in OQMD via LeMat-Bulk.

abc: 4.6942 4.6942 5.6729
angles: 90.00 90.00 120.00
With the nearest neighbours (Å) after each atom.
Positions (direct):
1 Fe 0.3333 0.6667 0.2500  5 Bi 2.71-2.84
2 Fe 0.6667 0.3333 0.7500  5 Bi 2.71-2.84
3 Bi 0.3333 0.6667 0.7500  5 Fe 2.71-2.84
4 Bi 0.6667 0.3333 0.2500  5 Fe 2.71-2.84
5 Pt 0.0000 0.0000 0.0000  2 Pt 2.84, 6 Fe 3.06, 6 Bi 3.06
6 Pt 0.0000 0.0000 0.5000  2 Pt 2.84, 6 Fe 3.06, 6 Bi 3.06

total energy: -5.8249 eV/atom
space-group type: P6_3/mmc (194)

---

[10]
First-principles (PBE-GGA) data for an optimized crystal structure of FeBiPt, as listed in OQMD via LeMat-Bulk.

abc: 7.5600 7.5600 3.5591
angles: 90.00 90.00 120.00
With the nearest neighbours (Å) after each atom.
Positions (direct):
1 Fe 0.0000 0.6046 0.0000  5 Pt 2.92-2.99, 6 Bi 2.99-3.21
2 Fe 0.3954 0.3954 0.0000  5 Pt 2.92-2.99, 6 Bi 2.99-3.21
3 Fe 0.6046 0.0000 0.0000  5 Pt 2.92-2.99, 6 Bi 2.99-3.21
4 Bi 0.0000 0.2868 0.5000  4 Pt 2.71-2.80, 2 Fe 2.99
5 Bi 0.2868 0.0000 0.5000  4 Pt 2.71-2.80, 2 Fe 2.99
6 Bi 0.7132 0.7132 0.5000  4 Pt 2.71-2.80, 2 Fe 2.99
7 Pt 0.0000 0.0000 0.0000  6 Bi 2.80, 3 Fe 2.99
8 Pt 0.3333 0.6667 0.5000  3 Bi 2.71, 6 Fe 2.92
9 Pt 0.6667 0.3333 0.5000  3 Bi 2.71, 6 Fe 2.92

total energy: -5.8375 eV/atom
space-group type: P-62m (189)

---

[11]
First-principles (PBE-GGA) data for an optimized crystal structure of FeBiPt, as listed in OQMD via LeMat-Bulk.

abc: 4.7647 4.7647 5.7516
angles: 90.00 90.00 120.00
With the nearest neighbours (Å) after each atom.
Positions (direct):
1 Fe 0.0000 0.0000 0.0000  2 Fe 2.88, 6 Pt 3.10, 6 Bi 3.10
2 Fe 0.0000 0.0000 0.5000  2 Fe 2.88, 6 Bi 3.10, 6 Pt 3.10
3 Bi 0.3333 0.6667 0.2500  5 Pt 2.75-2.88
4 Bi 0.6667 0.3333 0.7500  5 Pt 2.75-2.88
5 Pt 0.3333 0.6667 0.7500  5 Bi 2.75-2.88
6 Pt 0.6667 0.3333 0.2500  5 Bi 2.75-2.88

total energy: -5.8452 eV/atom
space-group type: P6_3/mmc (194)

---

[12]
First-principles (PBE-GGA) data for an optimized crystal structure of FeBiPt, as listed in OQMD via LeMat-Bulk.

abc: 4.6671 4.6671 5.6929
angles: 90.00 90.00 120.00
With the nearest neighbours (Å) after each atom.
Positions (direct):
1 Fe 0.0000 0.0000 0.0000  2 Fe 2.85, 6 Bi 3.03-3.06, 6 Pt 3.04-3.05
2 Fe 0.0000 0.0000 0.5000  2 Fe 2.85, 6 Bi 3.03-3.06, 6 Pt 3.04-3.05
3 Bi 0.3333 0.6667 0.2452  5 Pt 2.69-2.86
4 Bi 0.6667 0.3333 0.7452  5 Pt 2.69-2.86
5 Pt 0.3333 0.6667 0.7478  5 Bi 2.69-2.86
6 Pt 0.6667 0.3333 0.2478  5 Bi 2.69-2.86

total energy: -5.8177 eV/atom
space-group type: P6_3mc (186)

---

Number 1: volume 17.04 A^3/atom. Number 2: volume 17.27 A^3/atom. Number 3: volume 20.80 A^3/atom. Number 4: volume 20.00 A^3/atom. Number 5: volume 17.13 A^3/atom. Number 6: volume 18.55 A^3/atom. Number 7: volume 18.21 A^3/atom. Number 8: volume 19.20 A^3/atom. Number 9: volume 18.04 A^3/atom. Number 10: volume 19.57 A^3/atom. Number 11: volume 18.85 A^3/atom. Number 12: volume 17.90 A^3/atom.